Record 1
{"formula": "Er3ScPb2", "functional": "PBE-GGA", "state": "optimized geometry", "cell": [[-3.169, 8.313, 3.166], [3.169, -8.313, 3.166], [3.169, 8.313, -3.166]], "species": ["Er", "Pb", "Pb", "Er", "Er", "Er", "Er", "Sc", "Pb", "Sc", "Er", "Pb"], "fractional_positions": [[0.170, 0.250, 0.419], [0.139, 0.756, 0.895], [0.639, 0.744, 0.383], [0.330, 0.750, 0.080], [0.670, 0.250, 0.920], [0.250, 0.750, 0.500], [0.830, 0.750, 0.581], [0.250, 0.250, 0.000], [0.361, 0.256, 0.617], [0.750, 0.750, 0.000], [0.750, 0.250, 0.500], [0.861, 0.244, 0.105]], "mass_density_g_cm3": 9.6, "energy_ev_per_atom": -4.983, "space_group": "No. 72", "crystal_system": "orthorhombic"}

=====

Record 2
{"formula": "Mg2Co", "functional": "PBE-GGA", "state": "optimized geometry", "cell": [[-1.136, -6.151, 11.284], [5.329, 1.697, 4.795], [-2.544, 3.429, 1.613]], "species": ["Mg", "Mg", "Mg", "Mg", "Co", "Mg", "Co", "Co", "Co", "Co", "Mg", "Mg", "Mg", "Mg", "Co", "Mg", "Mg", "Mg", "Mg", "Mg", "Co", "Co", "Mg", "Mg"], "fractional_positions": [[0.603, 0.292, 0.500], [0.032, 0.176, 0.500], [0.591, 0.069, 0.000], [0.114, 0.776, 0.500], [0.215, 0.374, 0.500], [0.720, 0.863, 0.500], [0.766, 0.183, 0.000], [0.883, 0.002, 0.500], [0.844, 0.845, 0.000], [0.429, 0.178, 0.500], [0.285, 0.971, 0.500], [0.475, 0.498, 0.000], [0.785, 0.382, 0.500], [0.520, 0.739, 0.500], [0.312, 0.359, 0.000], [0.250, 0.746, 0.000], [0.910, 0.390, 0.000], [0.163, 0.185, 0.000], [0.944, 0.616, 0.500], [0.675, 0.622, 0.000], [0.351, 0.516, 0.500], [0.979, 0.988, 0.000], [0.081, 0.585, 0.000], [0.409, 0.978, 0.000]], "mass_density_g_cm3": 3.6, "energy_ev_per_atom": -3.194, "space_group": "No. 11", "crystal_system": "monoclinic"}

=====

Record 3
{"formula": "Li4GeSbAu2", "functional": "PBE-GGA", "state": "optimized geometry", "cell": [[-2.830, -3.035, 1.722], [2.910, -0.829, 3.321], [-2.785, 4.637, 3.597]], "species": ["Sb", "Li", "Au", "Li", "Li", "Au", "Li", "Ge"], "fractional_positions": [[0.500, 0.500, 0.000], [0.000, 0.500, 0.730], [0.500, 0.000, 0.724], [0.500, 0.500, 0.500], [0.000, 0.000, 0.000], [0.000, 0.500, 0.276], [0.500, 0.000, 0.270], [0.000, 0.000, 0.500]], "mass_density_g_cm3": 7.8, "energy_ev_per_atom": -3.392, "space_group": "No. 115", "crystal_system": "tetragonal"}

=====

Record 4
{"formula": "LiLaCdSe3", "functional": "PBE-GGA", "state": "optimized geometry", "cell": [[-3.284, 1.003, 2.486], [-5.273, -4.072, -1.708], [3.526, -7.847, 7.822]], "species": ["Se", "La", "Se", "Cd", "Li", "Li", "Se", "La", "Se", "Se", "Se", "Cd"], "fractional_positions": [[0.352, 0.296, 0.574], [0.000, 0.000, 0.500], [0.648, 0.704, 0.074], [0.476, 0.047, 0.750], [0.767, 0.466, 0.750], [0.233, 0.534, 0.250], [0.352, 0.296, 0.926], [0.000, 0.000, 0.000], [0.648, 0.704, 0.426], [0.102, 0.796, 0.750], [0.898, 0.204, 0.250], [0.524, 0.953, 0.250]], "mass_density_g_cm3": 5.1, "energy_ev_per_atom": -4.264, "space_group": "No. 63", "crystal_system": "orthorhombic"}

=====

What did the second record say?
{"formula": "Mg2Co", "functional": "PBE-GGA", "state": "optimized geometry", "cell": [[-1.136, -6.151, 11.284], [5.329, 1.697, 4.795], [-2.544, 3.429, 1.613]], "species": ["Mg", "Mg", "Mg", "Mg", "Co", "Mg", "Co", "Co", "Co", "Co", "Mg", "Mg", "Mg", "Mg", "Co", "Mg", "Mg", "Mg", "Mg", "Mg", "Co", "Co", "Mg", "Mg"], "fractional_positions": [[0.603, 0.292, 0.500], [0.032, 0.176, 0.500], [0.591, 0.069, 0.000], [0.114, 0.776, 0.500], [0.215, 0.374, 0.500], [0.720, 0.863, 0.500], [0.766, 0.183, 0.000], [0.883, 0.002, 0.500], [0.844, 0.845, 0.000], [0.429, 0.178, 0.500], [0.285, 0.971, 0.500], [0.475, 0.498, 0.000], [0.785, 0.382, 0.500], [0.520, 0.739, 0.500], [0.312, 0.359, 0.000], [0.250, 0.746, 0.000], [0.910, 0.390, 0.000], [0.163, 0.185, 0.000], [0.944, 0.616, 0.500], [0.675, 0.622, 0.000], [0.351, 0.516, 0.500], [0.979, 0.988, 0.000], [0.081, 0.585, 0.000], [0.409, 0.978, 0.000]], "mass_density_g_cm3": 3.6, "energy_ev_per_atom": -3.194, "space_group": "No. 11", "crystal_system": "monoclinic"}